[1]
OsSeSBr2 | PBE | optimized geometry

Cell: 5.076 5.076 4.720 Å, 90.00 90.00 90.00°
Fractional coordinates of all 5 atoms:
Os: 0.000 0.000 0.000
Se: 0.000 0.000 0.500
S: 0.500 0.500 0.500
Br: 0.000 0.500 0.000
Br: 0.500 0.000 0.000

Properties
- Space-group type: P4/mmm (123)
- VASP energy: -18.0 eV per formula unit


[2]
AgBiPdAu | PBE | optimized geometry

Cell: 6.827 6.827 6.827 Å, 90.00 90.00 90.00°
Fractional coordinates of all 16 atoms:
Ag: 0.000 0.000 0.000
Ag: 0.000 0.500 0.500
Ag: 0.500 0.000 0.500
Ag: 0.500 0.500 0.000
Bi: 0.000 0.000 0.500
Bi: 0.000 0.500 0.000
Bi: 0.500 0.000 0.000
Bi: 0.500 0.500 0.500
Pd: 0.250 0.250 0.250
Pd: 0.250 0.750 0.750
Pd: 0.750 0.250 0.750
Pd: 0.750 0.750 0.250
Au: 0.250 0.250 0.750
Au: 0.250 0.750 0.250
Au: 0.750 0.250 0.250
Au: 0.750 0.750 0.750

Properties
- Space-group type: F-43m (216)
- ΔH_f (0 K): -0.36 eV/f.u.


[3]
Mg3V | PBE | optimized geometry

Cell: 6.185 6.185 4.970 Å, 90.00 90.00 120.00°
Fractional coordinates of all 8 atoms:
Mg: 0.171 0.342 0.250
Mg: 0.171 0.829 0.250
Mg: 0.342 0.171 0.750
Mg: 0.658 0.829 0.250
Mg: 0.829 0.171 0.750
Mg: 0.829 0.658 0.750
V: 0.333 0.667 0.750
V: 0.667 0.333 0.250

Properties
- Space-group type: P6_3/mmc (194)
- ΔH_f (0 K): 1.23 eV/f.u.


Number 1: DOS(E_F) 5.30 states/eV/cell. Number 2: DOS(E_F) 4.97 states/eV/cell. Number 3: DOS(E_F) 6.92 states/eV/cell.